1.
Compound: LaAg2Br
Source: Alexandria
Functional: GGA-PBE
Structure: optimized geometry

Formation energy from raw total energies = -1.59 eV per formula unit

abc: 6.829 6.829 6.829
angles: 100.42 100.42 129.65
Fractional coordinates of all 8 atoms:
La (0.000, 0.000, 0.000)
La (0.750, 0.250, 0.500)
Ag (0.133, 0.625, 0.008)
Ag (0.375, 0.383, 0.508)
Ag (0.617, 0.125, 0.992)
Ag (0.875, 0.867, 0.492)
Br (0.250, 0.750, 0.500)
Br (0.500, 0.500, 0.000)

---

2.
Compound: Pr9Y2Tl
Source: Alexandria
Functional: GGA-PBE
Structure: optimized geometry

Total DFT energy (no corrections) = -58.93 eV for the cell shown

abc: 5.116 5.116 15.668
angles: 90.00 90.00 90.00
Fractional coordinates of all 12 atoms:
Pr (0.000, 0.000, 0.000)
Pr (0.000, 0.000, 0.331)
Pr (0.000, 0.000, 0.669)
Pr (0.000, 0.500, 0.162)
Pr (0.000, 0.500, 0.500)
Pr (0.000, 0.500, 0.838)
Pr (0.500, 0.000, 0.162)
Pr (0.500, 0.000, 0.500)
Pr (0.500, 0.000, 0.838)
Y (0.500, 0.500, 0.332)
Y (0.500, 0.500, 0.668)
Tl (0.500, 0.500, 0.000)

---

3.
Compound: LiTl2PdPb
Source: Alexandria
Functional: GGA-PBE
Structure: optimized geometry

Total DFT energy (no corrections) = -15.68 eV for the cell shown

abc: 5.307 5.307 4.801
angles: 90.00 90.00 90.00
Fractional coordinates of all 5 atoms:
Li (0.000, 0.000, 0.000)
Tl (0.000, 0.500, 0.500)
Tl (0.500, 0.000, 0.500)
Pd (0.000, 0.000, 0.500)
Pb (0.500, 0.500, 0.000)

---

4.
Compound: Al2NiH
Source: Alexandria
Functional: GGA-PBE
Structure: optimized geometry

Total DFT energy (no corrections) = -16.31 eV for the cell shown

abc: 4.032 4.032 4.032
angles: 60.00 60.00 60.00
Fractional coordinates of all 4 atoms:
Al (0.250, 0.250, 0.250)
Al (0.750, 0.750, 0.750)
Ni (0.000, 0.000, 0.000)
H (0.500, 0.500, 0.500)

---

5.
Compound: Ca4HoTl2
Source: Alexandria
Functional: GGA-PBE
Structure: optimized geometry

Total DFT energy (no corrections) = -17.61 eV for the cell shown

abc: 10.629 10.629 10.629
angles: 29.81 29.81 29.81
Fractional coordinates of all 7 atoms:
Ca (0.103, 0.103, 0.103)
Ca (0.295, 0.295, 0.295)
Ca (0.705, 0.705, 0.705)
Ca (0.897, 0.897, 0.897)
Ho (0.500, 0.500, 0.500)
Tl (0.402, 0.402, 0.402)
Tl (0.598, 0.598, 0.598)

---

6.
Compound: NaC
Source: Alexandria
Functional: GGA-PBE
Structure: optimized geometry

Total DFT energy (no corrections) = -36.18 eV for the cell shown

abc: 6.000 6.000 6.000
angles: 109.47 109.47 109.47
Fractional coordinates of all 8 atoms:
Na (0.000, 0.000, 0.434)
Na (0.000, 0.434, 0.000)
Na (0.434, 0.000, 0.000)
Na (0.566, 0.566, 0.566)
C (0.000, 0.000, 0.840)
C (0.000, 0.840, 0.000)
C (0.160, 0.160, 0.160)
C (0.840, 0.000, 0.000)

---

no.,DOS(E_F) (states/eV per atom)
1,0.166
2,1.261
3,0.538
4,0.397
5,1.470
6,0.000